VASP calculation (GGA-PBE) on crystalline MgOsSe2 at its relaxed geometry.

abc: 6.6402 6.6402 6.6402
angles: 148.33 141.40 50.76
With the nearest neighbours (Å) after each atom.
Fractional positions:
1 Mg 0.0000 0.0000 0.0000  4 Se 2.77, 4 Os 2.85
2 Os 0.5000 0.5000 0.0000  4 Se 2.48
3 Se 0.3593 0.8593 0.5000  2 Os 2.48, 2 Mg 2.77
4 Se 0.6407 0.1407 0.5000  2 Os 2.48, 2 Mg 2.77

## Properties
The total energy comes out at -0.37373 Ry per atom. As for the space-group type: No. 71. For the formation energy from raw total energies, the calculation gives -0.14 eV/atom.